First-principles (PBE-GGA) data for a geometry-optimized Nd4Tl2Ir structure, as listed in Alexandria via LeMat-Bulk.

a b c (Å): 6.7471 3.9094 9.2758
angles (deg): 90.00 110.26 90.00
With the nearest neighbours (Å) after each atom.
Space group P2/m (No. 10)
Inequivalent atoms, fractional coordinates:
Nd  0.1184  0.0000  0.2537 (multiplicity 2)  1 Ir 2.79
Nd  0.3455  0.5000  0.6560 (multiplicity 2)  2 Ir 2.84
Tl  0.2610  0.5000  0.9999 (multiplicity 2)  2 Tl 3.22-3.52, 6 Nd 3.37-3.44
Ir  0.5000  0.0000  0.5000 (multiplicity 1)  6 Nd 2.79-2.84

Values from the calculation:
Uncorrected energy   -0.3657 Ry per atom
E_form   -0.309 eV/atom
ΔE to the lowest computed polymorph   0.119 eV per atom